Here is an optimized crystal structure of Cs2CuIrO4 from Alexandria via LeMat-Bulk. Energies are from PBE.

Unit cell a=5.739 b=14.251 c=20.353 alpha=90.00 beta=90.00 gamma=90.00
Space group Fddd (No. 70, origin choice 2)
Asymmetric unit:
Cs  0.125  0.125  0.292
Cu  0.125  0.125  0.125
Ir  0.125  0.125  0.625
O  0.121  0.283  0.872

The uncorrected formation energy comes out at -0.91 eV/atom.

---

Here is an optimized crystal structure of YHo2Au from Alexandria via LeMat-Bulk. Energies are from PBE.

Unit cell a=4.859 b=11.704 c=7.968 alpha=90.00 beta=90.00 gamma=90.00
Space group Cmcm (No. 63)
Asymmetric unit:
Y  0.000  0.046  0.250
Ho  0.000  0.355  0.040
Au  0.000  0.210  0.750

As for the formation energy: -1.7 eV per formula unit. The calculation puts the excess energy over the best structure of this formula in the dataset at 0.039 eV/atom.

---

Here is an optimized crystal structure of CsZrPd2 from Alexandria via LeMat-Bulk. Energies are from PBE.

Unit cell a=7.175 b=7.175 c=7.175 alpha=90.00 beta=90.00 gamma=90.00
Space group Fm-3m (No. 225)
Asymmetric unit:
Cs  0.000  0.000  0.000
Zr  0.000  0.000  0.500
Pd  0.250  0.250  0.250

As for the formation energy: 1.9 eV per formula unit. The calculation puts the excess energy over the best structure of this formula in the dataset at 0.137 eV/atom.

---

Calculated raw total energy, -5.2212, -5.1423, -4.4830 eV/atom (same order as the records).
Calculated spin magnetization, 32.05, 0.02, 0.00 Bohr magnetons per cell (same order as the records).